(1)
This record from Alexandria via LeMat-Bulk describes a relaxed structure of K2CuBr2F2. The functional is PBE. Values from VASP.

Geometry as Quantum ESPRESSO input:
```
&SYSTEM
  ibrav = 0, nat = 7, ntyp = 4
/
ATOMIC_SPECIES
K 39.10 K.upf
Cu 63.55 Cu.upf
Br 79.90 Br.upf
F 19.00 F.upf
ATOMIC_POSITIONS crystal
K 0.000 0.500 0.500
K 0.500 0.000 0.500
Cu 0.000 0.000 0.000
Br 0.000 0.500 0.000
Br 0.500 0.000 0.000
F 0.000 0.000 0.500
F 0.500 0.500 0.500
CELL_PARAMETERS angstrom
5.032 0.000 0.000
0.000 5.032 0.000
0.000 0.000 7.040
```

Results
Raw total energy, eV/atom: -3.416
Formation energy from raw total energies, kJ per mole of atoms: -145.2
Density, g cm⁻³: 3.2

(2)
This record from Alexandria via LeMat-Bulk describes a relaxed structure of KTc2Ir. The functional is PBE. Values from VASP.

Geometry as Quantum ESPRESSO input:
```
&SYSTEM
  ibrav = 0, nat = 4, ntyp = 3
/
ATOMIC_SPECIES
Ir 192.22 Ir.upf
K 39.10 K.upf
Tc 98.00 Tc.upf
ATOMIC_POSITIONS crystal
Ir 0.500 0.000 0.500
K 0.000 0.500 0.500
Tc 0.000 0.000 0.000
Tc 0.500 0.500 0.000
CELL_PARAMETERS angstrom
4.965 0.000 0.000
0.000 4.965 0.000
0.000 0.000 2.726
```

Results
Raw total energy, eV/atom: -6.279
Density, g cm⁻³: 10.6

(3)
This record from Alexandria via LeMat-Bulk describes a relaxed structure of La5P4. The functional is PBE. Values from VASP.

Geometry as Quantum ESPRESSO input:
```
&SYSTEM
  ibrav = 0, nat = 18, ntyp = 2
/
ATOMIC_SPECIES
P 30.97 P.upf
La 138.91 La.upf
ATOMIC_POSITIONS crystal
P 0.000 0.000 0.000
P 0.000 0.000 0.500
P 0.000 0.397 0.250
P 0.603 0.603 0.250
P 0.397 0.000 0.250
P 0.000 0.603 0.750
P 0.397 0.397 0.750
P 0.603 0.000 0.750
La 0.000 0.746 0.250
La 0.254 0.254 0.250
La 0.746 0.000 0.250
La 0.000 0.254 0.750
La 0.746 0.746 0.750
La 0.254 0.000 0.750
La 0.667 0.333 0.000
La 0.333 0.667 0.500
La 0.333 0.667 0.000
La 0.667 0.333 0.500
CELL_PARAMETERS angstrom
-4.894 5.769 4.620
-1.480 -8.704 0.797
4.577 -0.300 5.223
```

Results
Raw total energy, eV/atom: -6.388
Density, g cm⁻³: 5.7

Number 1: excess energy over the best structure of this formula in the dataset 1.145 eV/f.u.. Number 2: excess energy over the best structure of this formula in the dataset 3.166 eV/f.u.. Number 3: excess energy over the best structure of this formula in the dataset 0.000 eV/f.u..